Entry 1:
# Rb2Sn5Pb12 (PBE, optimized geometry)
data_Rb2Sn5Pb12
_chemical_formula_sum 'Rb6 Sn15 Pb36'
_symmetry_space_group_name_H-M 'R -3 m'
_symmetry_Int_Tables_number 166
_symmetry_space_group_name_Hall '-R 3 2"'
_cell_length_a 11.3987
_cell_length_b 11.3987
_cell_length_c 17.2951
_cell_angle_alpha 90.00
_cell_angle_beta 90.00
_cell_angle_gamma 120.00
loop_
_atom_site_label
_atom_site_type_symbol
_atom_site_fract_x
_atom_site_fract_y
_atom_site_fract_z
Rb1 Rb 0.0000 0.0000 0.1584
Sn1 Sn 0.0000 0.0000 0.4044
Sn2 Sn 0.0000 0.5000 0.0000
Pb1 Pb 0.0000 0.2926 0.5000
Pb2 Pb 0.0103 0.5052 0.3489
# Total magnetic moment, Bohr magnetons per cell: 0.000
# Formation energy, eV/atom: -0.033

***

Entry 2:
# TaNiMo2H (PBE, optimized geometry)
data_TaNiMo2H
_chemical_formula_sum 'Ta1 Ni1 Mo2 H1'
_symmetry_space_group_name_H-M 'P 4/m m m'
_symmetry_Int_Tables_number 123
_symmetry_space_group_name_Hall '-P 4 2'
_cell_length_a 4.1029
_cell_length_b 4.1029
_cell_length_c 3.7223
_cell_angle_alpha 90.00
_cell_angle_beta 90.00
_cell_angle_gamma 90.00
loop_
_atom_site_label
_atom_site_type_symbol
_atom_site_fract_x
_atom_site_fract_y
_atom_site_fract_z
Ta1 Ta 0.0000 0.0000 0.0000
Ni1 Ni 0.5000 0.5000 0.0000
Mo1 Mo 0.0000 0.5000 0.5000
H1 H 0.5000 0.5000 0.5000
# Calculated total energy, eV per atom: -8.522
# Total magnetic moment, Bohr magnetons per cell: 0.000